VASP calculation (PBE-GGA) on a geometry-optimized NaRe3Hg structure.

extended XYZ file:
```
5
Lattice="-3.296 -1.916 -3.255 -0.885 -3.808 3.138 -3.672 2.637 2.165" Properties=species:S:1:pos:R:3 pbc="T T T"
Re -0.442 -1.904 1.569
Re -1.836 1.319 1.083
Re -1.648 -0.958 -1.627
Hg 0.000 0.000 0.000
Na -3.926 -1.543 1.024
```

As for the energy relative to the lowest polymorph listed for this composition: 54.2 meV/atom. As for the density of states at the Fermi level: 8.111 states/eV/cell.